Material: AcSbPd4
Method: DFT, PBE
State: optimized geometry

Lattice parameters (Å, degrees): 5.5545 5.5545 5.5545 60.00 60.00 60.00
Atoms (fractional coordinates):
Ac 0.0000 0.0000 0.0000
Sb 0.2500 0.2500 0.2500
Pd 0.1259 0.6247 0.6247
Pd 0.6247 0.1259 0.6247
Pd 0.6247 0.6247 0.1259
Pd 0.6247 0.6247 0.6247

Summary:
calculated total energy	-5.372	eV per atom
V	20.196	Å³/atom
SG	F-43m, No. 216
uncorrected formation energy	-0.54	eV per atom

Material: AcSbPd2
Method: DFT, PBE
State: optimized geometry

Lattice parameters (Å, degrees): 3.7088 3.7088 6.8480 90.00 90.00 90.00
Atoms (fractional coordinates):
Ac 0.0000 0.0000 0.0000
Sb 0.0000 0.0000 0.5000
Pd 0.5000 0.5000 0.2888
Pd 0.5000 0.5000 0.7112

Summary:
calculated total energy	-5.139	eV per atom
V	23.549	Å³/atom
SG	P4/mmm, No. 123
uncorrected formation energy	-0.49	eV per atom

Material: AcSb3Pd3
Method: DFT, PBE
State: optimized geometry

Lattice parameters (Å, degrees): 8.4617 8.4617 8.4617 54.64 54.64 54.64
Atoms (fractional coordinates):
Ac 0.1652 0.1652 0.1652
Ac 0.8348 0.8348 0.8348
Sb 0.1065 0.7032 0.4152
Sb 0.2968 0.5848 0.8935
Sb 0.4152 0.1065 0.7032
Sb 0.5848 0.8935 0.2968
Sb 0.7032 0.4152 0.1065
Sb 0.8935 0.2968 0.5848
Pd 0.0257 0.3719 0.7419
Pd 0.2581 0.9743 0.6281
Pd 0.3719 0.7419 0.0257
Pd 0.6281 0.2581 0.9743
Pd 0.7419 0.0257 0.3719
Pd 0.9743 0.6281 0.2581

Summary:
calculated total energy	-5.107	eV per atom
V	26.779	Å³/atom
SG	R-3, No. 148
uncorrected formation energy	-0.53	eV per atom

Material: Ac2Sb5Pd3
Method: DFT, PBE
State: optimized geometry

Lattice parameters (Å, degrees): 9.7463 9.7463 9.7463 117.25 77.88 138.77
Atoms (fractional coordinates):
Ac 0.1208 0.2384 0.3591
Ac 0.3792 0.7384 0.1176
Ac 0.6208 0.2616 0.8824
Ac 0.8792 0.7616 0.6409
Sb 0.0177 0.7500 0.2677
Sb 0.1063 0.8750 0.9813
Sb 0.2500 0.7500 0.5000
Sb 0.3937 0.3750 0.7687
Sb 0.4823 0.7500 0.7323
Sb 0.5177 0.2500 0.2677
Sb 0.6063 0.6250 0.2313
Sb 0.7500 0.2500 0.5000
Sb 0.8937 0.1250 0.0187
Sb 0.9823 0.2500 0.7323
Pd 0.1164 0.6158 0.7322
Pd 0.2500 0.2500 0.0000
Pd 0.3836 0.1158 0.4994
Pd 0.6164 0.8842 0.5006
Pd 0.7500 0.7500 0.0000
Pd 0.8836 0.3842 0.2678

Summary:
calculated total energy	-5.147	eV per atom
V	26.400	Å³/atom
SG	Ibam, No. 72
uncorrected formation energy	-0.71	eV per atom

Material: Ac2SbPd3
Method: DFT, PBE
State: optimized geometry

Lattice parameters (Å, degrees): 8.9192 8.9192 8.9192 152.25 151.07 40.52
Atoms (fractional coordinates):
Ac 0.0000 0.0000 0.0000
Ac 0.7313 0.2313 0.5000
Sb 0.4009 0.4009 0.0000
Pd 0.1525 0.6525 0.5000
Pd 0.3126 0.8126 0.5000
Pd 0.5624 0.5624 0.0000

Summary:
calculated total energy	-5.522	eV per atom
V	26.586	Å³/atom
SG	Imm2, No. 44
uncorrected formation energy	-0.87	eV per atom

Material: AcSb3Pd5
Method: DFT, PBE
State: optimized geometry

Lattice parameters (Å, degrees): 7.2310 7.2310 13.4296 90.00 90.00 146.13
Atoms (fractional coordinates):
Ac 0.1602 0.8398 0.7500
Ac 0.8398 0.1602 0.2500
Sb 0.1119 0.8881 0.2500
Sb 0.3785 0.6215 0.0398
Sb 0.3785 0.6215 0.4602
Sb 0.6215 0.3785 0.5398
Sb 0.6215 0.3785 0.9602
Sb 0.8881 0.1119 0.7500
Pd 0.0000 0.0000 0.0000
Pd 0.0000 0.0000 0.5000
Pd 0.1948 0.8052 0.0725
Pd 0.1948 0.8052 0.4275
Pd 0.4579 0.5421 0.6466
Pd 0.4579 0.5421 0.8534
Pd 0.5421 0.4579 0.1466
Pd 0.5421 0.4579 0.3534
Pd 0.8052 0.1948 0.5725
Pd 0.8052 0.1948 0.9275

Summary:
calculated total energy	-5.357	eV per atom
V	21.744	Å³/atom
SG	Cmcm, No. 63
uncorrected formation energy	-0.64	eV per atom

Material: AcSb2Pd
Method: DFT, PBE
State: optimized geometry

Lattice parameters (Å, degrees): 5.1587 5.1587 5.1587 67.40 67.40 67.40
Atoms (fractional coordinates):
Ac 0.0000 0.0000 0.0000
Sb 0.2753 0.2753 0.2753
Sb 0.7247 0.7247 0.7247
Pd 0.5000 0.5000 0.5000

Summary:
calculated total energy	-4.850	eV per atom
V	28.102	Å³/atom
SG	R-3m, No. 166
uncorrected formation energy	-0.46	eV per atom

Material: AcSb2Pd
Method: DFT, PBE
State: optimized geometry

Lattice parameters (Å, degrees): 4.8032 4.8032 4.6515 90.00 90.00 90.00
Atoms (fractional coordinates):
Ac 0.0000 0.0000 0.0000
Sb 0.0000 0.5000 0.5000
Sb 0.5000 0.0000 0.5000
Pd 0.5000 0.5000 0.0000

Summary:
calculated total energy	-4.944	eV per atom
V	26.829	Å³/atom
SG	P4/mmm, No. 123
uncorrected formation energy	-0.56	eV per atom

Material: AcSbPd
Method: DFT, PBE
State: optimized geometry

Lattice parameters (Å, degrees): 4.6779 4.6779 4.3953 90.00 90.00 120.00
Atoms (fractional coordinates):
Ac 0.0000 0.0000 0.0000
Sb 0.3333 0.6667 0.5000
Pd 0.6667 0.3333 0.5000

Summary:
calculated total energy	-5.570	eV per atom
V	27.765	Å³/atom
SG	P-6m2, No. 187
uncorrected formation energy	-1.10	eV per atom

Material: AcSbPd
Method: DFT, PBE
State: optimized geometry

Lattice parameters (Å, degrees): 6.3486 6.3486 6.3486 146.00 146.00 48.84
Atoms (fractional coordinates):
Ac 0.0000 0.0000 0.0000
Sb 0.2904 0.2904 0.0000
Pd 0.6797 0.6797 0.0000

Summary:
calculated total energy	-5.052	eV per atom
V	26.551	Å³/atom
SG	I4mm, No. 107
uncorrected formation energy	-0.58	eV per atom

Material: Ac3Sb4Pd7
Method: DFT, PBE
State: optimized geometry

Lattice parameters (Å, degrees): 8.6748 8.6748 10.3770 125.10 125.10 30.60
Atoms (fractional coordinates):
Ac 0.0000 0.0000 0.0000
Ac 0.3264 0.3264 0.3174
Ac 0.6736 0.6736 0.6826
Sb 0.1195 0.1195 0.3949
Sb 0.3299 0.3299 0.9663
Sb 0.6701 0.6701 0.0337
Sb 0.8805 0.8805 0.6051
Pd 0.0000 0.0000 0.5000
Pd 0.1280 0.1280 0.8605
Pd 0.3147 0.3147 0.6873
Pd 0.4968 0.4968 0.7161
Pd 0.5032 0.5032 0.2839
Pd 0.6853 0.6853 0.3127
Pd 0.8720 0.8720 0.1395

Summary:
calculated total energy	-5.517	eV per atom
V	22.796	Å³/atom
SG	C2/m, No. 12
uncorrected formation energy	-0.86	eV per atom

Material: Ac3SbPd
Method: DFT, PBE
State: optimized geometry

Lattice parameters (Å, degrees): 5.8360 5.8360 5.8360 90.00 90.00 90.00
Atoms (fractional coordinates):
Ac 0.0000 0.0000 0.5000
Ac 0.0000 0.5000 0.0000
Ac 0.5000 0.0000 0.0000
Sb 0.5000 0.5000 0.5000
Pd 0.0000 0.0000 0.0000

Summary:
calculated total energy	-4.769	eV per atom
V	39.753	Å³/atom
SG	Pm-3m, No. 221
uncorrected formation energy	-0.44	eV per atom

Material: Ac3Sb4Pd2
Method: DFT, PBE
State: optimized geometry

Lattice parameters (Å, degrees): 6.4348 6.4348 9.5313 106.53 106.53 44.53
Atoms (fractional coordinates):
Ac 0.0000 0.0000 0.0000
Ac 0.3688 0.3688 0.2954
Ac 0.6312 0.6312 0.7046
Sb 0.0852 0.0852 0.4020
Sb 0.3009 0.3009 0.8919
Sb 0.6991 0.6991 0.1081
Sb 0.9148 0.9148 0.5980
Pd 0.3131 0.3131 0.6013
Pd 0.6869 0.6869 0.3987

Summary:
calculated total energy	-5.286	eV per atom
V	29.260	Å³/atom
SG	C2/m, No. 12
uncorrected formation energy	-0.93	eV per atom

Material: Ac2SbPd7
Method: DFT, PBE
State: optimized geometry

Lattice parameters (Å, degrees): 4.1612 4.1612 12.4342 90.00 90.00 90.00
Atoms (fractional coordinates):
Ac 0.0000 0.5000 0.2268
Ac 0.5000 0.0000 0.7732
Sb 0.0000 0.0000 0.5000
Pd 0.0000 0.0000 0.0000
Pd 0.0000 0.5000 0.6449
Pd 0.0000 0.5000 0.8580
Pd 0.5000 0.0000 0.1420
Pd 0.5000 0.0000 0.3551
Pd 0.5000 0.5000 0.0000
Pd 0.5000 0.5000 0.5000

Summary:
calculated total energy	-5.464	eV per atom
V	21.530	Å³/atom
SG	P-4m2, No. 115
uncorrected formation energy	-0.60	eV per atom

Material: Ac2Sb7Pd12
Method: DFT, PBE
State: optimized geometry

Lattice parameters (Å, degrees): 10.5686 10.5686 4.4895 90.00 90.00 120.00
Atoms (fractional coordinates):
Ac 0.3333 0.6667 0.2335
Ac 0.6667 0.3333 0.7665
Sb 0.0000 0.0000 0.5000
Sb 0.1016 0.7047 0.7243
Sb 0.2953 0.3970 0.7243
Sb 0.3970 0.1016 0.2757
Sb 0.6030 0.8984 0.7243
Sb 0.7047 0.6030 0.2757
Sb 0.8984 0.2953 0.2757
Pd 0.0618 0.4367 0.7669
Pd 0.1250 0.2532 0.2066
Pd 0.1282 0.8750 0.2066
Pd 0.2532 0.1282 0.7934
Pd 0.3749 0.9382 0.7669
Pd 0.4367 0.3749 0.2331
Pd 0.5633 0.6251 0.7669
Pd 0.6251 0.0618 0.2331
Pd 0.7468 0.8718 0.2066
Pd 0.8718 0.1250 0.7934
Pd 0.8750 0.7468 0.7934
Pd 0.9382 0.5633 0.2331

Summary:
calculated total energy	-5.384	eV per atom
V	20.680	Å³/atom
SG	P-3, No. 147
uncorrected formation energy	-0.65	eV per atom

Material: AcSbPd2
Method: DFT, PBE
State: optimized geometry

Lattice parameters (Å, degrees): 9.9746 9.9746 4.5843 90.00 90.00 154.54
Atoms (fractional coordinates):
Ac 0.0979 0.9021 0.7500
Ac 0.9021 0.0979 0.2500
Sb 0.3249 0.6751 0.7500
Sb 0.6751 0.3249 0.2500
Pd 0.2525 0.7475 0.2500
Pd 0.4617 0.5383 0.7500
Pd 0.5383 0.4617 0.2500
Pd 0.7475 0.2525 0.7500

Summary:
calculated total energy	-5.495	eV per atom
V	24.510	Å³/atom
SG	Cmcm, No. 63
uncorrected formation energy	-0.84	eV per atom

Material: Ac2SbPd3
Method: DFT, PBE
State: optimized geometry

Lattice parameters (Å, degrees): 9.3405 9.1153 6.2677 72.10 68.22 39.68
Atoms (fractional coordinates):
Ac 0.2393 0.7607 0.7607
Ac 0.2500 0.2500 0.2500
Ac 0.7500 0.7500 0.7500
Ac 0.7607 0.2393 0.2393
Sb 0.3348 0.3348 0.6652
Sb 0.6652 0.6652 0.3348
Pd 0.1676 0.6649 0.3351
Pd 0.1695 0.1695 0.8305
Pd 0.3351 0.8324 0.1676
Pd 0.6649 0.1676 0.8324
Pd 0.8305 0.8305 0.1695
Pd 0.8324 0.3351 0.6649

Summary:
calculated total energy	-5.522	eV per atom
V	26.351	Å³/atom
SG	Fmmm, No. 69
uncorrected formation energy	-0.87	eV per atom

Material: AcSbPd6
Method: DFT, PBE
State: optimized geometry

Lattice parameters (Å, degrees): 7.4324 7.4324 7.4324 44.75 44.75 44.75
Atoms (fractional coordinates):
Ac 0.0000 0.0000 0.0000
Sb 0.5000 0.5000 0.5000
Pd 0.0573 0.5737 0.5737
Pd 0.4263 0.4263 0.9427
Pd 0.4263 0.9427 0.4263
Pd 0.5737 0.0573 0.5737
Pd 0.5737 0.5737 0.0573
Pd 0.9427 0.4263 0.4263

Summary:
calculated total energy	-5.242	eV per atom
V	23.140	Å³/atom
SG	R-3m, No. 166
uncorrected formation energy	-0.32	eV per atom

Material: AcSbPd2
Method: DFT, PBE
State: optimized geometry

Lattice parameters (Å, degrees): 4.8312 4.8312 4.0311 90.00 90.00 90.00
Atoms (fractional coordinates):
Ac 0.0000 0.0000 0.0000
Sb 0.5000 0.5000 0.0000
Pd 0.0000 0.5000 0.5000
Pd 0.5000 0.0000 0.5000

Summary:
calculated total energy	-5.256	eV per atom
V	23.522	Å³/atom
SG	P4/mmm, No. 123
uncorrected formation energy	-0.60	eV per atom

Material: AcSb4Pd12
Method: DFT, PBE
State: optimized geometry

Lattice parameters (Å, degrees): 7.7739 7.7739 7.7739 109.47 109.47 109.47
Atoms (fractional coordinates):
Ac 0.0000 0.0000 0.0000
Sb 0.0000 0.0000 0.5000
Sb 0.0000 0.5000 0.0000
Sb 0.5000 0.0000 0.0000
Sb 0.5000 0.5000 0.5000
Pd 0.1538 0.3509 0.5046
Pd 0.1538 0.6491 0.8029
Pd 0.1971 0.8462 0.3509
Pd 0.3509 0.1971 0.8462
Pd 0.3509 0.5046 0.1538
Pd 0.4954 0.8462 0.6491
Pd 0.5046 0.1538 0.3509
Pd 0.6491 0.4954 0.8462
Pd 0.6491 0.8029 0.1538
Pd 0.8029 0.1538 0.6491
Pd 0.8462 0.3509 0.1971
Pd 0.8462 0.6491 0.4954

Summary:
calculated total energy	-5.080	eV per atom
V	21.274	Å³/atom
SG	Im-3, No. 204
uncorrected formation energy	-0.20	eV per atom

Material: AcSbPd
Method: DFT, PBE
State: optimized geometry

Lattice parameters (Å, degrees): 4.9767 4.9767 4.9767 60.00 60.00 60.00
Atoms (fractional coordinates):
Ac 0.0000 0.0000 0.0000
Sb 0.5000 0.5000 0.5000
Pd 0.2500 0.2500 0.2500

Summary:
calculated total energy	-5.508	eV per atom
V	29.052	Å³/atom
SG	F-43m, No. 216
uncorrected formation energy	-1.03	eV per atom

Material: AcSbPd
Method: DFT, PBE
State: optimized geometry

Lattice parameters (Å, degrees): 4.8217 4.8217 7.2518 90.00 90.00 90.00
Atoms (fractional coordinates):
Ac 0.2500 0.2500 0.2086
Ac 0.7500 0.7500 0.7914
Sb 0.2500 0.2500 0.7230
Sb 0.7500 0.7500 0.2769
Pd 0.2500 0.7500 0.5000
Pd 0.7500 0.2500 0.5000

Summary:
calculated total energy	-5.457	eV per atom
V	28.100	Å³/atom
SG	P4/nmm, No. 129
uncorrected formation energy	-0.98	eV per atom

Material: AcSbPd
Method: DFT, PBE
State: optimized geometry

Lattice parameters (Å, degrees): 4.7111 4.7111 8.6238 90.00 90.00 120.00
Atoms (fractional coordinates):
Ac 0.0000 0.0000 0.0000
Ac 0.0000 0.0000 0.5000
Sb 0.3333 0.6667 0.2500
Sb 0.6667 0.3333 0.7500
Pd 0.3333 0.6667 0.7500
Pd 0.6667 0.3333 0.2500

Summary:
calculated total energy	-5.587	eV per atom
V	27.630	Å³/atom
SG	P6_3/mmc, No. 194
uncorrected formation energy	-1.11	eV per atom